(1)
LiNiSe: relaxed, PBE.

Computed properties:
M_tot = 0.00 μB/cell

a b c (Å): 7.202 4.173 7.513
angles (deg): 90.00 118.72 90.00
Element x y z (fractional)
Se 0.500 0.502 0.500
Li 0.155 0.825 0.243
Li 0.845 0.825 0.757
Ni 0.619 0.296 0.818
Ni 0.619 0.796 0.318
Se 0.500 0.002 0.000
Li 0.845 0.325 0.257
Se 0.000 0.825 0.500
Li 0.155 0.325 0.743
Se 0.000 0.325 0.000
Ni 0.381 0.296 0.182
Ni 0.381 0.796 0.682


(2)
LiNiSe: relaxed, PBE.

Computed properties:
M_tot = 0.33 μB/cell

a b c (Å): 4.904 4.905 3.361
angles (deg): 69.96 69.97 40.07
Element x y z (fractional)
Se 0.713 0.713 0.287
Li 0.002 0.002 0.998
Ni 0.285 0.285 0.715


Order from most stable to least stable according to the calculation: (1), (2)


(1)
LiSi2Ni4: relaxed, PBE.

Computed properties:
M_tot = 0.00 μB/cell

a b c (Å): 3.374 3.374 9.008
angles (deg): 100.79 100.79 90.00
Element x y z (fractional)
Ni 0.861 0.861 0.721
Ni 0.750 0.250 0.500
Ni 0.139 0.139 0.279
Si 0.652 0.652 0.304
Si 0.348 0.348 0.696
Ni 0.250 0.750 0.500
Li 0.000 0.000 0.000


(2)
LiSi2Ni4: relaxed, PBE.

Computed properties:
M_tot = 0.00 μB/cell

a b c (Å): 3.785 3.785 6.505
angles (deg): 73.08 73.08 90.00
Element x y z (fractional)
Ni 0.500 0.000 0.000
Si 0.376 0.376 0.249
Ni 0.190 0.190 0.620
Si 0.624 0.624 0.751
Li 0.000 0.000 0.000
Ni 0.000 0.500 0.000
Ni 0.810 0.810 0.380


Order from most stable to least stable according to the calculation: (1), (2)


(1)
LiSiNi3: relaxed, PBE.

Computed properties:
M_tot = 0.00 μB/cell

a b c (Å): 4.238 4.238 4.238
angles (deg): 90.00 90.00 90.00
Element x y z (fractional)
Ni 0.000 0.500 0.000
Li 0.500 0.500 0.500
Si 0.000 0.000 0.000
Ni 0.000 0.000 0.500
Ni 0.500 0.000 0.000


(2)
LiSiNi3: relaxed, PBE.

Computed properties:
M_tot = 0.00 μB/cell

a b c (Å): 4.398 6.210 6.210
angles (deg): 132.07 90.00 90.00
Element x y z (fractional)
Li 0.750 0.423 0.577
Si 0.750 0.826 0.174
Si 0.250 0.174 0.826
Li 0.250 0.577 0.423
Ni 0.250 0.595 0.939
Ni 0.250 0.061 0.405
Ni 0.750 0.939 0.595
Ni 0.000 0.000 0.000
Ni 0.500 0.000 0.000
Ni 0.750 0.405 0.061


Order from most stable to least stable according to the calculation: (2), (1)